# KBeB2 (PBE, optimized geometry)
data_KBeB2
_symmetry_space_group_name_H-M 'P 1'
_symmetry_Int_Tables_number 1
_cell_length_a 4.368
_cell_length_b 4.368
_cell_length_c 7.071
_cell_angle_alpha 72.01
_cell_angle_beta 72.01
_cell_angle_gamma 90.00
loop_
_symmetry_equiv_pos_as_xyz
'x,y,z'
loop_
_atom_site_label
_atom_site_type_symbol
_atom_site_fract_x
_atom_site_fract_y
_atom_site_fract_z
Be1 Be 0.500 0.500 0.000
Be2 Be 0.250 0.750 0.500
K1 K 0.000 0.000 0.000
K2 K 0.750 0.250 0.500
B1 B 0.375 0.125 0.250
B2 B 0.375 0.625 0.250
B3 B 0.375 0.625 0.750
B4 B 0.875 0.625 0.750
# Symmetry: I4_1/amd, No. 141
# Energy relative to the elements in eV per atom: 1.059

# K2BeB (PBE, optimized geometry)
data_K2BeB
_symmetry_space_group_name_H-M 'P 1'
_symmetry_Int_Tables_number 1
_cell_length_a 5.443
_cell_length_b 5.443
_cell_length_c 5.443
_cell_angle_alpha 60.00
_cell_angle_beta 60.00
_cell_angle_gamma 60.00
loop_
_symmetry_equiv_pos_as_xyz
'x,y,z'
loop_
_atom_site_label
_atom_site_type_symbol
_atom_site_fract_x
_atom_site_fract_y
_atom_site_fract_z
Be1 Be 0.000 0.000 0.000
K1 K 0.250 0.250 0.250
K2 K 0.750 0.750 0.750
B1 B 0.500 0.500 0.500
# Symmetry: Fm-3m, No. 225
# Energy relative to the elements in eV per atom: 1.555
# Relative energy among the computed polymorphs in meV per atom: 987

# KBeB3 (PBE, optimized geometry)
data_KBeB3
_symmetry_space_group_name_H-M 'P 1'
_symmetry_Int_Tables_number 1
_cell_length_a 4.026
_cell_length_b 4.026
_cell_length_c 4.026
_cell_angle_alpha 90.00
_cell_angle_beta 90.00
_cell_angle_gamma 90.00
loop_
_symmetry_equiv_pos_as_xyz
'x,y,z'
loop_
_atom_site_label
_atom_site_type_symbol
_atom_site_fract_x
_atom_site_fract_y
_atom_site_fract_z
Be1 Be 0.000 0.000 0.000
K1 K 0.500 0.500 0.500
B1 B 0.000 0.500 0.000
B2 B 0.000 0.000 0.500
B3 B 0.500 0.000 0.000
# Symmetry: Pm-3m, No. 221
# Energy relative to the elements in eV per atom: 1.690
# Relative energy among the computed polymorphs in meV per atom: 0

# KBeB3 (PBE, optimized geometry)
data_KBeB3
_symmetry_space_group_name_H-M 'P 1'
_symmetry_Int_Tables_number 1
_cell_length_a 4.770
_cell_length_b 4.770
_cell_length_c 4.770
_cell_angle_alpha 90.00
_cell_angle_beta 90.00
_cell_angle_gamma 90.00
loop_
_symmetry_equiv_pos_as_xyz
'x,y,z'
loop_
_atom_site_label
_atom_site_type_symbol
_atom_site_fract_x
_atom_site_fract_y
_atom_site_fract_z
Be1 Be 0.500 0.500 0.500
K1 K 0.000 0.000 0.000
B1 B 0.000 0.500 0.000
B2 B 0.000 0.000 0.500
B3 B 0.500 0.000 0.000
# Symmetry: Pm-3m, No. 221
# Energy relative to the elements in eV per atom: 3.688
# Relative energy among the computed polymorphs in meV per atom: 1998

# K2BeB (PBE, optimized geometry)
data_K2BeB
_symmetry_space_group_name_H-M 'P 1'
_symmetry_Int_Tables_number 1
_cell_length_a 12.024
_cell_length_b 12.024
_cell_length_c 8.699
_cell_angle_alpha 46.28
_cell_angle_beta 46.28
_cell_angle_gamma 90.00
loop_
_symmetry_equiv_pos_as_xyz
'x,y,z'
loop_
_atom_site_label
_atom_site_type_symbol
_atom_site_fract_x
_atom_site_fract_y
_atom_site_fract_z
Be1 Be 0.500 0.500 0.000
Be2 Be 0.250 0.750 0.500
K1 K 0.840 0.125 0.250
K2 K 0.910 0.625 0.250
K3 K 0.375 0.160 0.750
K4 K 0.875 0.090 0.750
B1 B 0.000 0.000 0.000
B2 B 0.750 0.250 0.500
# Symmetry: I-42d, No. 122
# Energy relative to the elements in eV per atom: 0.568
# Relative energy among the computed polymorphs in meV per atom: 0

# K3BeB (PBE, optimized geometry)
data_K3BeB
_symmetry_space_group_name_H-M 'P 1'
_symmetry_Int_Tables_number 1
_cell_length_a 6.002
_cell_length_b 6.002
_cell_length_c 6.002
_cell_angle_alpha 90.00
_cell_angle_beta 90.00
_cell_angle_gamma 90.00
loop_
_symmetry_equiv_pos_as_xyz
'x,y,z'
loop_
_atom_site_label
_atom_site_type_symbol
_atom_site_fract_x
_atom_site_fract_y
_atom_site_fract_z
Be1 Be 0.500 0.500 0.500
K1 K 0.000 0.500 0.000
K2 K 0.000 0.000 0.500
K3 K 0.500 0.000 0.000
B1 B 0.000 0.000 0.000
# Symmetry: Pm-3m, No. 221
# Energy relative to the elements in eV per atom: 1.270
# Relative energy among the computed polymorphs in meV per atom: 0

# KBe2NbB (PBE, optimized geometry)
data_KBe2NbB
_symmetry_space_group_name_H-M 'P 1'
_symmetry_Int_Tables_number 1
_cell_length_a 4.898
_cell_length_b 4.898
_cell_length_c 4.302
_cell_angle_alpha 90.00
_cell_angle_beta 90.00
_cell_angle_gamma 90.00
loop_
_symmetry_equiv_pos_as_xyz
'x,y,z'
loop_
_atom_site_label
_atom_site_type_symbol
_atom_site_fract_x
_atom_site_fract_y
_atom_site_fract_z
Be1 Be 0.000 0.500 0.000
Be2 Be 0.500 0.000 0.000
Nb1 Nb 0.000 0.000 0.000
B1 B 0.000 0.000 0.500
K1 K 0.500 0.500 0.500
# Symmetry: P4/mmm, No. 123
# Energy relative to the elements in eV per atom: 1.243

# KBe2B3O7 (PBE, optimized geometry)
data_KBe2B3O7
_symmetry_space_group_name_H-M 'P 1'
_symmetry_Int_Tables_number 1
_cell_length_a 4.413
_cell_length_b 7.712
_cell_length_c 17.735
_cell_angle_alpha 90.00
_cell_angle_beta 90.00
_cell_angle_gamma 90.00
loop_
_symmetry_equiv_pos_as_xyz
'x,y,z'
loop_
_atom_site_label
_atom_site_type_symbol
_atom_site_fract_x
_atom_site_fract_y
_atom_site_fract_z
K1 K 0.094 0.000 0.364
K2 K 0.594 0.500 0.636
K3 K 0.183 0.500 0.147
K4 K 0.683 0.000 0.853
Be1 Be 0.618 0.312 0.459
Be2 Be 0.618 0.688 0.459
Be3 Be 0.118 0.188 0.541
Be4 Be 0.118 0.812 0.541
Be5 Be 0.778 0.177 0.037
Be6 Be 0.778 0.823 0.037
Be7 Be 0.278 0.323 0.963
Be8 Be 0.278 0.677 0.963
B1 B 0.116 0.500 0.480
B2 B 0.616 0.000 0.520
B3 B 0.273 0.000 0.009
B4 B 0.773 0.500 0.991
B5 B 0.542 0.340 0.316
B6 B 0.542 0.660 0.316
B7 B 0.042 0.160 0.684
B8 B 0.042 0.840 0.684
B9 B 0.677 0.166 0.193
B10 B 0.677 0.834 0.193
B11 B 0.177 0.334 0.807
B12 B 0.177 0.666 0.807
O1 O 0.803 0.500 0.473
O2 O 0.303 0.000 0.527
O3 O 0.267 0.343 0.487
O4 O 0.267 0.657 0.487
O5 O 0.767 0.157 0.513
O6 O 0.767 0.843 0.513
O7 O 0.961 0.000 0.011
O8 O 0.461 0.500 0.989
O9 O 0.427 0.155 0.007
O10 O 0.427 0.845 0.007
O11 O 0.927 0.345 0.993
O12 O 0.927 0.655 0.993
O13 O 0.631 0.238 0.373
O14 O 0.631 0.762 0.373
O15 O 0.131 0.262 0.627
O16 O 0.131 0.738 0.627
O17 O 0.402 0.500 0.330
O18 O 0.902 0.000 0.670
O19 O 0.578 0.303 0.239
O20 O 0.578 0.697 0.239
O21 O 0.078 0.197 0.761
O22 O 0.078 0.803 0.761
O23 O 0.642 0.000 0.223
O24 O 0.142 0.500 0.777
O25 O 0.787 0.209 0.125
O26 O 0.787 0.791 0.125
O27 O 0.287 0.291 0.875
O28 O 0.287 0.709 0.875
# Uncorrected formation energy in eV per formula unit: -32.8
# Symmetry: Pmn2_1, No. 31
# Relative energy among the computed polymorphs in meV per atom: 10

# KBe2B3O7 (PBE, optimized geometry)
data_KBe2B3O7
_symmetry_space_group_name_H-M 'P 1'
_symmetry_Int_Tables_number 1
_cell_length_a 7.572
_cell_length_b 9.485
_cell_length_c 13.397
_cell_angle_alpha 90.00
_cell_angle_beta 90.00
_cell_angle_gamma 111.97
loop_
_symmetry_equiv_pos_as_xyz
'x,y,z'
loop_
_atom_site_label
_atom_site_type_symbol
_atom_site_fract_x
_atom_site_fract_y
_atom_site_fract_z
K1 K 0.626 0.231 0.558
K2 K 0.374 0.769 0.058
K3 K 0.619 0.231 0.913
K4 K 0.381 0.769 0.413
K5 K 0.000 0.997 0.483
K6 K 0.000 0.003 0.983
Be1 Be 0.026 0.417 0.396
Be2 Be 0.974 0.583 0.896
Be3 Be 0.970 0.575 0.563
Be4 Be 0.030 0.425 0.063
Be5 Be 0.605 0.583 0.564
Be6 Be 0.395 0.417 0.064
Be7 Be 0.400 0.425 0.395
Be8 Be 0.600 0.575 0.895
Be9 Be 0.603 0.592 0.228
Be10 Be 0.397 0.408 0.728
Be11 Be 0.976 0.592 0.230
Be12 Be 0.024 0.408 0.730
B1 B 0.765 0.536 0.395
B2 B 0.235 0.464 0.895
B3 B 0.763 0.523 0.729
B4 B 0.237 0.477 0.229
B5 B 0.233 0.461 0.564
B6 B 0.767 0.539 0.064
B7 B 0.654 0.846 0.644
B8 B 0.346 0.154 0.144
B9 B 0.806 0.085 0.737
B10 B 0.194 0.915 0.237
B11 B 0.644 0.840 0.823
B12 B 0.356 0.160 0.323
B13 B 0.692 0.914 0.230
B14 B 0.308 0.086 0.730
B15 B 0.849 0.151 0.323
B16 B 0.151 0.849 0.823
B17 B 0.849 0.157 0.142
B18 B 0.151 0.843 0.642
O1 O 0.082 0.475 0.512
O2 O 0.918 0.525 0.012
O3 O 0.915 0.520 0.345
O4 O 0.085 0.480 0.845
O5 O 0.780 0.570 0.165
O6 O 0.220 0.430 0.665
O7 O 0.606 0.537 0.346
O8 O 0.394 0.463 0.846
O9 O 0.399 0.484 0.512
O10 O 0.601 0.516 0.012
O11 O 0.772 0.546 0.499
O12 O 0.228 0.454 0.999
O13 O 0.602 0.514 0.677
O14 O 0.398 0.486 0.177
O15 O 0.907 0.500 0.675
O16 O 0.093 0.500 0.175
O17 O 0.771 0.543 0.832
O18 O 0.229 0.457 0.332
O19 O 0.884 0.235 0.741
O20 O 0.116 0.765 0.241
O21 O 0.765 0.004 0.646
O22 O 0.235 0.996 0.146
O23 O 0.753 0.998 0.826
O24 O 0.247 0.002 0.326
O25 O 0.647 0.764 0.562
O26 O 0.353 0.236 0.062
O27 O 0.560 0.782 0.732
O28 O 0.440 0.218 0.232
O29 O 0.629 0.753 0.903
O30 O 0.371 0.247 0.403
O31 O 0.609 0.764 0.227
O32 O 0.391 0.236 0.727
O33 O 0.730 0.001 0.140
O34 O 0.270 0.999 0.640
O35 O 0.732 0.995 0.322
O36 O 0.268 0.005 0.822
O37 O 0.892 0.244 0.060
O38 O 0.108 0.756 0.560
O39 O 0.931 0.214 0.233
O40 O 0.069 0.786 0.733
O41 O 0.891 0.235 0.406
O42 O 0.109 0.765 0.906
# Uncorrected formation energy in eV per formula unit: -32.8
# Symmetry: P2_1, No. 4
# Relative energy among the computed polymorphs in meV per atom: 5

# KBe2B3O7 (PBE, optimized geometry)
data_KBe2B3O7
_symmetry_space_group_name_H-M 'P 1'
_symmetry_Int_Tables_number 1
_cell_length_a 6.925
_cell_length_b 6.925
_cell_length_c 6.765
_cell_angle_alpha 71.40
_cell_angle_beta 71.40
_cell_angle_gamma 81.13
loop_
_symmetry_equiv_pos_as_xyz
'x,y,z'
loop_
_atom_site_label
_atom_site_type_symbol
_atom_site_fract_x
_atom_site_fract_y
_atom_site_fract_z
K1 K 0.175 0.825 0.750
K2 K 0.825 0.175 0.250
Be1 Be 0.054 0.635 0.344
Be2 Be 0.365 0.946 0.156
Be3 Be 0.946 0.365 0.656
Be4 Be 0.635 0.054 0.844
B1 B 0.449 0.551 0.250
B2 B 0.551 0.449 0.750
B3 B 0.768 0.733 0.682
B4 B 0.267 0.232 0.818
B5 B 0.232 0.267 0.318
B6 B 0.733 0.768 0.182
O1 O 0.297 0.703 0.250
O2 O 0.703 0.297 0.750
O3 O 0.943 0.616 0.610
O4 O 0.384 0.057 0.890
O5 O 0.057 0.384 0.390
O6 O 0.616 0.943 0.110
O7 O 0.579 0.648 0.736
O8 O 0.352 0.421 0.764
O9 O 0.421 0.352 0.264
O10 O 0.648 0.579 0.236
O11 O 0.775 0.920 0.698
O12 O 0.080 0.225 0.802
O13 O 0.225 0.080 0.302
O14 O 0.920 0.775 0.198
# Uncorrected formation energy in eV per formula unit: -32.9
# Symmetry: C2/c, No. 15
# Relative energy among the computed polymorphs in meV per atom: 0

# K2BeBO4 (PBE, optimized geometry)
data_K2BeBO4
_symmetry_space_group_name_H-M 'P 1'
_symmetry_Int_Tables_number 1
_cell_length_a 4.119
_cell_length_b 5.817
_cell_length_c 10.147
_cell_angle_alpha 85.88
_cell_angle_beta 78.29
_cell_angle_gamma 69.27
loop_
_symmetry_equiv_pos_as_xyz
'x,y,z'
loop_
_atom_site_label
_atom_site_type_symbol
_atom_site_fract_x
_atom_site_fract_y
_atom_site_fract_z
K1 K 0.172 0.000 0.657
K2 K 0.828 0.000 0.343
K3 K 0.578 0.500 0.843
K4 K 0.922 0.500 0.157
Be1 Be 0.750 0.500 0.500
Be2 Be 0.000 0.000 0.000
B1 B 0.250 0.500 0.500
B2 B 0.500 0.000 0.000
O1 O 0.311 0.847 0.082
O2 O 0.240 0.153 0.918
O3 O 0.842 0.847 0.918
O4 O 0.607 0.153 0.082
O5 O 0.439 0.653 0.418
O6 O 0.510 0.347 0.582
O7 O 0.908 0.653 0.582
O8 O 0.143 0.347 0.418
# Uncorrected formation energy in eV per formula unit: -16.0
# Symmetry: Fddd, No. 70

# KRbBe2B (PBE, optimized geometry)
data_KRbBe2B
_symmetry_space_group_name_H-M 'P 1'
_symmetry_Int_Tables_number 1
_cell_length_a 5.977
_cell_length_b 5.512
_cell_length_c 5.977
_cell_angle_alpha 90.00
_cell_angle_beta 90.00
_cell_angle_gamma 90.00
loop_
_symmetry_equiv_pos_as_xyz
'x,y,z'
loop_
_atom_site_label
_atom_site_type_symbol
_atom_site_fract_x
_atom_site_fract_y
_atom_site_fract_z
Be1 Be 0.000 0.000 0.500
Be2 Be 0.500 0.000 0.000
K1 K 0.000 0.000 0.000
B1 B 0.000 0.500 0.000
Rb1 Rb 0.500 0.500 0.500
# Symmetry: P4/mmm, No. 123
# Energy relative to the elements in eV per atom: 2.121

# K2BeBRu (PBE, optimized geometry)
data_K2BeBRu
_symmetry_space_group_name_H-M 'P 1'
_symmetry_Int_Tables_number 1
_cell_length_a 5.895
_cell_length_b 4.148
_cell_length_c 5.895
_cell_angle_alpha 90.00
_cell_angle_beta 90.00
_cell_angle_gamma 90.00
loop_
_symmetry_equiv_pos_as_xyz
'x,y,z'
loop_
_atom_site_label
_atom_site_type_symbol
_atom_site_fract_x
_atom_site_fract_y
_atom_site_fract_z
Ru1 Ru 0.000 0.000 0.000
K1 K 0.000 0.000 0.500
K2 K 0.500 0.000 0.000
B1 B 0.500 0.500 0.500
Be1 Be 0.000 0.500 0.000
# Symmetry: P4/mmm, No. 123
# Energy relative to the elements in eV per atom: 1.777

# K2BeBS4 (PBE, optimized geometry)
data_K2BeBS4
_symmetry_space_group_name_H-M 'P 1'
_symmetry_Int_Tables_number 1
_cell_length_a 7.278
_cell_length_b 6.197
_cell_length_c 5.958
_cell_angle_alpha 120.51
_cell_angle_beta 127.09
_cell_angle_gamma 84.40
loop_
_symmetry_equiv_pos_as_xyz
'x,y,z'
loop_
_atom_site_label
_atom_site_type_symbol
_atom_site_fract_x
_atom_site_fract_y
_atom_site_fract_z
K1 K 0.496 0.995 0.011
K2 K 0.237 0.262 0.496
Be1 Be 0.966 0.467 0.965
B1 B 0.849 0.746 0.520
S1 S 0.769 0.683 0.729
S2 S 0.808 0.454 0.162
S3 S 0.291 0.705 0.222
S4 S 0.971 0.075 0.669
# Uncorrected formation energy in eV per formula unit: -6.3
# Symmetry: P1, No. 1

# KZrBeB2 (PBE, optimized geometry)
data_KZrBeB2
_symmetry_space_group_name_H-M 'P 1'
_symmetry_Int_Tables_number 1
_cell_length_a 4.391
_cell_length_b 4.184
_cell_length_c 4.391
_cell_angle_alpha 90.00
_cell_angle_beta 90.00
_cell_angle_gamma 90.00
loop_
_symmetry_equiv_pos_as_xyz
'x,y,z'
loop_
_atom_site_label
_atom_site_type_symbol
_atom_site_fract_x
_atom_site_fract_y
_atom_site_fract_z
Be1 Be 0.000 0.500 0.000
K1 K 0.000 0.000 0.000
B1 B 0.000 0.000 0.500
B2 B 0.500 0.000 0.000
Zr1 Zr 0.500 0.500 0.500
# Symmetry: P4/mmm, No. 123
# Energy relative to the elements in eV per atom: 2.449

# LaBe3B (PBE, optimized geometry)
data_LaBe3B
_symmetry_space_group_name_H-M 'P 1'
_symmetry_Int_Tables_number 1
_cell_length_a 4.023
_cell_length_b 4.023
_cell_length_c 4.023
_cell_angle_alpha 90.00
_cell_angle_beta 90.00
_cell_angle_gamma 90.00
loop_
_symmetry_equiv_pos_as_xyz
'x,y,z'
loop_
_atom_site_label
_atom_site_type_symbol
_atom_site_fract_x
_atom_site_fract_y
_atom_site_fract_z
Be1 Be 0.000 0.500 0.000
Be2 Be 0.000 0.000 0.500
Be3 Be 0.500 0.000 0.000
B1 B 0.000 0.000 0.000
La1 La 0.500 0.500 0.500
# Symmetry: Pm-3m, No. 221
# Energy relative to the elements in eV per atom: 0.341
# Relative energy among the computed polymorphs in meV per atom: 0

# La3BeB (PBE, optimized geometry)
data_La3BeB
_symmetry_space_group_name_H-M 'P 1'
_symmetry_Int_Tables_number 1
_cell_length_a 5.258
_cell_length_b 5.258
_cell_length_c 5.258
_cell_angle_alpha 90.00
_cell_angle_beta 90.00
_cell_angle_gamma 90.00
loop_
_symmetry_equiv_pos_as_xyz
'x,y,z'
loop_
_atom_site_label
_atom_site_type_symbol
_atom_site_fract_x
_atom_site_fract_y
_atom_site_fract_z
Be1 Be 0.500 0.500 0.500
B1 B 0.000 0.000 0.000
La1 La 0.000 0.500 0.000
La2 La 0.000 0.000 0.500
La3 La 0.500 0.000 0.000
# Symmetry: Pm-3m, No. 221
# Energy relative to the elements in eV per atom: 0.375
# Relative energy among the computed polymorphs in meV per atom: 0

# LaBeB (PBE, optimized geometry)
data_LaBeB
_symmetry_space_group_name_H-M 'P 1'
_symmetry_Int_Tables_number 1
_cell_length_a 8.721
_cell_length_b 3.212
_cell_length_c 3.733
_cell_angle_alpha 90.00
_cell_angle_beta 84.46
_cell_angle_gamma 89.98
loop_
_symmetry_equiv_pos_as_xyz
'x,y,z'
loop_
_atom_site_label
_atom_site_type_symbol
_atom_site_fract_x
_atom_site_fract_y
_atom_site_fract_z
Be1 Be 0.823 0.688 0.409
Be2 Be 0.965 0.188 0.128
B1 B 0.877 0.688 0.888
B2 B 0.911 0.188 0.650
La1 La 0.178 0.687 0.554
La2 La 0.610 0.188 0.984
# Symmetry: P2_1/m, No. 11
# Energy relative to the elements in eV per atom: -0.208
# Relative energy among the computed polymorphs in meV per atom: 0